Below is a geometry-optimized Ho3Cu2Ni7 structure, with properties calculated at the PBE level.

Geometry as CIF:
```
data_Ho3Cu2Ni7
_chemical_formula_sum 'Ho9 Cu6 Ni21'
_symmetry_space_group_name_H-M 'R -3 m'
_symmetry_Int_Tables_number 166
_symmetry_space_group_name_Hall '-R 3 2"'
_cell_length_a 4.9944
_cell_length_b 4.9944
_cell_length_c 24.2445
_cell_angle_alpha 90.00
_cell_angle_beta 90.00
_cell_angle_gamma 120.00
loop_
_atom_site_label
_atom_site_fract_x
_atom_site_fract_y
_atom_site_fract_z
_atom_site_occupancy
Ho1 0.0000 0.0000 0.0000 1
Ho2 0.0000 0.0000 0.1392 1
Cu1 0.0000 0.0000 0.3336 1
Ni1 0.0000 0.0000 0.5000 1
Ni2 0.0020 0.5010 0.9167 1
```

Calculated values
Energy   -202.0 eV/cell
Calculated volume   174.6 Å³/f.u.